The following is a DFT calculation (GGA-PBE) of crystalline Sm5TlGa2 at its relaxed geometry.

Output
Electronic total energy ... -70.80 eV/cell

Structure (POSCAR):
```
Sm5TlGa2
1.0
-3.934 3.934 7.408
3.934 -3.934 7.408
3.934 3.934 -7.408
Sm Tl Ga
10 2 4
direct
0.000 0.000 0.000
0.025 0.525 0.839
0.186 0.025 0.500
0.314 0.814 0.839
0.475 0.314 0.500
0.500 0.500 0.000
0.525 0.686 0.500
0.686 0.186 0.161
0.814 0.975 0.500
0.975 0.475 0.161
0.250 0.250 0.000
0.750 0.750 0.000
0.121 0.379 0.500
0.379 0.879 0.258
0.621 0.121 0.742
0.879 0.621 0.500
```